Entry from Alexandria via LeMat-Bulk: TcMoN3 after structural relaxation (GGA-PBE).

Output
- Crystal system: cubic
- Density of states at the Fermi level: 4.392 states/eV/f.u.
- Theoretical density: 7.0 g cm⁻³
- Size of the total moment: 0.00 μB per atom
- ΔE_f (raw): 1.175 eV/atom

CIF file:
```
data_TcMoN3
_chemical_formula_sum 'Tc1 Mo1 N3'
_symmetry_space_group_name_H-M 'P m -3 m'
_symmetry_Int_Tables_number 221
_symmetry_space_group_name_Hall '-P 4 2 3'
_cell_length_a 3.826
_cell_length_b 3.826
_cell_length_c 3.826
_cell_angle_alpha 90.00
_cell_angle_beta 90.00
_cell_angle_gamma 90.00
loop_
_atom_site_label
_atom_site_fract_x
_atom_site_fract_y
_atom_site_fract_z
_atom_site_occupancy
Tc1 0.000 0.000 0.000 1
Mo1 0.500 0.500 0.500 1
N1 0.000 0.000 0.500 1
```